Record 1
Sr2Li4Cd3 | PBE-GGA | relaxed

## Properties
* formation energy: -1.48 eV per formula unit

Cell: 5.931 10.757 15.060 Å, 90.00 90.00 90.00°
Space group Fmmm (No. 69)
Symmetry-distinct sites (fractional):
1 Sr 0.000 0.000 0.133 [8 per cell]
2 Li 0.000 0.175 0.336 [16 per cell]
3 Cd 0.000 0.000 0.500 [4 per cell]
4 Cd 0.250 0.250 0.000 [8 per cell]

=====

Record 2
Sr2LiCd6 | PBE-GGA | relaxed

## Properties
* formation energy: -2.32 eV per formula unit

Cell: 6.6006 6.6006 6.4502 Å, 90.00 90.00 120.00°
Space group P-3m1 (No. 164)
Symmetry-distinct sites (fractional):
1 Sr 0.3333 0.6667 0.1509 [2 per cell]
2 Li 0.0000 0.0000 0.0000 [1 per cell]
3 Cd 0.1751 0.3502 0.6737 [6 per cell]

=====

In order of appearance, V = 26.7; 27.0 A^3/atom.